First-principles (GGA-PBE) data for an optimized crystal structure of ZnNi12B6, as listed in Alexandria via LeMat-Bulk.

For the total energy, the calculation gives -343.13 eV per cell. The calculation puts the formation energy at -0.193 eV per atom.

It has space group R-3m (No. 166, hexagonal axes), with a = 9.5529 Å, b = 9.5529 Å, c = 7.1561 Å, α = 90.00°, β = 90.00° and γ = 120.00°. The distinct sites, in fractional coordinates, are Zn at (0.0000, 0.0000, 0.0000), Ni at (0.0000, 0.3699, 0.5000), Ni at (0.0874, 0.1747, 0.3550) and B at (0.0453, 0.5226, 0.2779).